i) A plane-wave DFT calculation with SCAN was carried out for a crystal of MgTeN2F relaxed with PBEsol.

Results
- Magnetization: 4.3 μB/cell
- SG: P4/mmm, No. 123

Unit cell a=3.8590 b=3.8590 c=5.8724 alpha=90.00 beta=90.00 gamma=90.00
Sites, in units of the cell vectors:
Mg  0.0000  0.0000  0.0000
Te  0.0000  0.0000  0.5000
N  0.0000  0.5000  0.0000
N  0.5000  0.0000  0.0000
F  0.5000  0.5000  0.5000

=====

ii) A plane-wave DFT calculation with SCAN was carried out for a crystal of MgTeN2F relaxed with PBEsol.

Results
- Magnetization: 0.0 μB/cell
- SG: P4/mmm, No. 123

Unit cell a=4.1079 b=4.1079 c=4.1705 alpha=90.00 beta=90.00 gamma=90.00
Sites, in units of the cell vectors:
Mg  0.0000  0.0000  0.0000
Te  0.5000  0.5000  0.5000
N  0.0000  0.5000  0.5000
N  0.5000  0.0000  0.5000
F  0.5000  0.5000  0.0000

=====

ii) is favored, and the nearest alternative lies 69.2 kJ/mol of atoms above it.